Record 1
# Ce3Al2Si3

A geometry-optimized Ce3Al2Si3 structure (PBE-GGA, the Alexandria database).

The formation energy from raw total energies comes out at -545 meV/atom. For the volume, the calculation gives 21.990 Å³ per atom.

The space group is Cmcm (No. 63) and the conventional cell measures 4.174, 11.012 and 15.308 Å, with angles of 90.00, 90.00 and 90.00 degrees. The inequivalent atoms are Ce at (0.000, 0.058, 0.250), Ce at (0.000, 0.359, 0.093), Al at (0.000, 0.353, 0.620), Si at (0.000, 0.075, 0.054) and Si at (0.000, 0.216, 0.750).

Record 2
# Cd6In5

A geometry-optimized Cd6In5 structure (PBE-GGA, the Alexandria database).

The value obtained for the energy of formation is 24 meV/atom. For the volume, the calculation gives 24.954 Å³ per atom.

The space group is P-1 (No. 2) and the conventional cell measures 5.860, 5.957 and 8.501 Å, with angles of 103.59, 91.63 and 106.89 degrees. The inequivalent atoms are Cd at (0.097, 0.053, 0.178), Cd at (0.175, 0.578, 0.367), Cd at (0.364, 0.672, 0.724), In at (0.000, 0.500, 0.000), In at (0.278, 0.131, 0.537) and In at (0.450, 0.217, 0.907).

no.,uncorrected energy (eV per formula unit),N(E_F) (states/eV/cell),magnetic moment (μB per cell)
1,-45.92,55.655,6.5
2,-18.91,3.618,0.0